[1]
# CuSbMo2 PBE relaxed
data_CuSbMo2
_cell_length_a 2.895
_cell_length_b 2.895
_cell_length_c 8.882
_cell_angle_alpha 90.00
_cell_angle_beta 90.00
_cell_angle_gamma 108.46
_space_group_name_H-M_alt 'P 1'
_space_group_IT_number 1
loop_
_space_group_symop_operation_xyz
'x,y,z'
loop_
_atom_site_label
_atom_site_type_symbol
_atom_site_fract_x
_atom_site_fract_y
_atom_site_fract_z
_atom_site_occupancy
Cu1 Cu 0.000 0.000 0.000 1
Sb1 Sb 0.500 0.500 0.719 1
Mo1 Mo 0.000 0.000 0.450 1
Mo2 Mo 0.500 0.500 0.225 1
# Magnetic moment = 0.0 μB per formula unit
# Energy relative to the elements, uncorrected = 42 kJ/mol of atoms

[2]
# Pu3Sb5Te12 PBE relaxed
data_Pu3Sb5Te12
_cell_length_a 15.741
_cell_length_b 15.741
_cell_length_c 15.741
_cell_angle_alpha 109.47
_cell_angle_beta 109.47
_cell_angle_gamma 109.47
_space_group_name_H-M_alt 'P 1'
_space_group_IT_number 1
loop_
_space_group_symop_operation_xyz
'x,y,z'
loop_
_atom_site_label
_atom_site_type_symbol
_atom_site_fract_x
_atom_site_fract_y
_atom_site_fract_z
_atom_site_occupancy
Pu1 Pu 0.125 0.250 0.375 1
Pu2 Pu 0.125 0.375 0.750 1
Pu3 Pu 0.250 0.375 0.125 1
Pu4 Pu 0.250 0.875 0.625 1
Pu5 Pu 0.375 0.125 0.250 1
Pu6 Pu 0.375 0.750 0.125 1
Pu7 Pu 0.625 0.250 0.875 1
Pu8 Pu 0.625 0.875 0.750 1
Pu9 Pu 0.750 0.125 0.375 1
Pu10 Pu 0.750 0.625 0.875 1
Pu11 Pu 0.875 0.625 0.250 1
Pu12 Pu 0.875 0.750 0.625 1
Sb1 Sb 0.000 0.000 0.000 1
Sb2 Sb 0.000 0.000 0.500 1
Sb3 Sb 0.000 0.500 0.000 1
Sb4 Sb 0.000 0.500 0.500 1
Sb5 Sb 0.125 0.750 0.875 1
Sb6 Sb 0.125 0.875 0.250 1
Sb7 Sb 0.250 0.125 0.875 1
Sb8 Sb 0.250 0.625 0.375 1
Sb9 Sb 0.375 0.250 0.625 1
Sb10 Sb 0.375 0.625 0.750 1
Sb11 Sb 0.500 0.000 0.000 1
Sb12 Sb 0.500 0.000 0.500 1
Sb13 Sb 0.500 0.500 0.000 1
Sb14 Sb 0.500 0.500 0.500 1
Sb15 Sb 0.625 0.375 0.250 1
Sb16 Sb 0.625 0.750 0.375 1
Sb17 Sb 0.750 0.375 0.625 1
Sb18 Sb 0.750 0.875 0.125 1
Sb19 Sb 0.875 0.125 0.750 1
Sb20 Sb 0.875 0.250 0.125 1
Te1 Te 0.054 0.221 0.139 1
Te2 Te 0.054 0.332 0.915 1
Te3 Te 0.083 0.721 0.668 1
Te4 Te 0.083 0.861 0.415 1
Te5 Te 0.085 0.639 0.417 1
Te6 Te 0.085 0.946 0.668 1
Te7 Te 0.139 0.054 0.221 1
Te8 Te 0.139 0.585 0.917 1
Te9 Te 0.168 0.221 0.583 1
Te10 Te 0.168 0.446 0.585 1
Te11 Te 0.221 0.139 0.054 1
Te12 Te 0.221 0.583 0.168 1
Te13 Te 0.279 0.332 0.917 1
Te14 Te 0.279 0.446 0.361 1
Te15 Te 0.332 0.915 0.054 1
Te16 Te 0.332 0.917 0.279 1
Te17 Te 0.361 0.279 0.446 1
Te18 Te 0.361 0.583 0.915 1
Te19 Te 0.415 0.083 0.861 1
Te20 Te 0.415 0.832 0.554 1
Te21 Te 0.417 0.085 0.639 1
Te22 Te 0.417 0.832 0.779 1
Te23 Te 0.446 0.361 0.279 1
Te24 Te 0.446 0.585 0.168 1
Te25 Te 0.554 0.415 0.832 1
Te26 Te 0.554 0.639 0.721 1
Te27 Te 0.583 0.168 0.221 1
Te28 Te 0.583 0.915 0.361 1
Te29 Te 0.585 0.168 0.446 1
Te30 Te 0.585 0.917 0.139 1
Te31 Te 0.639 0.417 0.085 1
Te32 Te 0.639 0.721 0.554 1
Te33 Te 0.668 0.083 0.721 1
Te34 Te 0.668 0.085 0.946 1
Te35 Te 0.721 0.554 0.639 1
Te36 Te 0.721 0.668 0.083 1
Te37 Te 0.779 0.417 0.832 1
Te38 Te 0.779 0.861 0.946 1
Te39 Te 0.832 0.554 0.415 1
Te40 Te 0.832 0.779 0.417 1
Te41 Te 0.861 0.415 0.083 1
Te42 Te 0.861 0.946 0.779 1
Te43 Te 0.915 0.054 0.332 1
Te44 Te 0.915 0.361 0.583 1
Te45 Te 0.917 0.139 0.585 1
Te46 Te 0.917 0.279 0.332 1
Te47 Te 0.946 0.668 0.085 1
Te48 Te 0.946 0.779 0.861 1
# Magnetic moment = 15.7 μB per formula unit
# Energy relative to the elements, uncorrected = -29 kJ/mol of atoms